This record from Alexandria via LeMat-Bulk describes a geometry-optimized AcLa2Zn9 structure. The functional is PBE-GGA.

Geometry as CIF:
```
data_AcLa2Zn9
_space_group_name_H-M_alt 'P 1'
_space_group_IT_number 1
_cell_length_a 9.4364
_cell_length_b 9.4364
_cell_length_c 9.4364
_cell_angle_alpha 34.94
_cell_angle_beta 34.94
_cell_angle_gamma 34.94
loop_
_space_group_symop_operation_xyz
'x,y,z'
loop_
_atom_site_label
_atom_site_type_symbol
_atom_site_fract_x
_atom_site_fract_y
_atom_site_fract_z
Ac1 Ac 0.0000 0.0000 0.0000
La1 La 0.1448 0.1448 0.1448
La2 La 0.8552 0.8552 0.8552
Zn1 Zn 0.0788 0.5824 0.5824
Zn2 Zn 0.3350 0.3350 0.3350
Zn3 Zn 0.4176 0.4176 0.9212
Zn4 Zn 0.4176 0.9212 0.4176
Zn5 Zn 0.5000 0.5000 0.5000
Zn6 Zn 0.5824 0.0788 0.5824
Zn7 Zn 0.5824 0.5824 0.0788
Zn8 Zn 0.6650 0.6650 0.6650
Zn9 Zn 0.9212 0.4176 0.4176
```

=====

This record from Alexandria via LeMat-Bulk describes a geometry-optimized Ac2La3Zn3 structure. The functional is PBE-GGA.

Geometry as CIF:
```
data_Ac2La3Zn3
_space_group_name_H-M_alt 'P 1'
_space_group_IT_number 1
_cell_length_a 12.1620
_cell_length_b 12.1620
_cell_length_c 12.1620
_cell_angle_alpha 161.54
_cell_angle_beta 153.83
_cell_angle_gamma 32.22
loop_
_space_group_symop_operation_xyz
'x,y,z'
loop_
_atom_site_label
_atom_site_type_symbol
_atom_site_fract_x
_atom_site_fract_y
_atom_site_fract_z
Ac1 Ac 0.2213 0.2213 0.0000
Ac2 Ac 0.7787 0.7787 0.0000
La1 La 0.0000 0.0000 0.0000
La2 La 0.3886 0.8886 0.5000
La3 La 0.6114 0.1114 0.5000
Zn1 Zn 0.1077 0.6077 0.5000
Zn2 Zn 0.5000 0.5000 0.0000
Zn3 Zn 0.8923 0.3923 0.5000
```

=====

This record from Alexandria via LeMat-Bulk describes a geometry-optimized AcLa5Zn6 structure. The functional is PBE-GGA.

Geometry as CIF:
```
data_AcLa5Zn6
_space_group_name_H-M_alt 'P 1'
_space_group_IT_number 1
_cell_length_a 5.3437
_cell_length_b 7.5894
_cell_length_c 8.4600
_cell_angle_alpha 90.00
_cell_angle_beta 108.31
_cell_angle_gamma 90.00
loop_
_space_group_symop_operation_xyz
'x,y,z'
loop_
_atom_site_label
_atom_site_type_symbol
_atom_site_fract_x
_atom_site_fract_y
_atom_site_fract_z
Ac1 Ac 0.0000 0.0000 0.0000
La1 La 0.0000 0.5000 0.0000
La2 La 0.3331 0.0000 0.6662
La3 La 0.3335 0.5000 0.6671
La4 La 0.6669 0.0000 0.3338
La5 La 0.6665 0.5000 0.3329
Zn1 Zn 0.1698 0.2533 0.3395
Zn2 Zn 0.1698 0.7467 0.3395
Zn3 Zn 0.5000 0.2581 0.0000
Zn4 Zn 0.5000 0.7419 0.0000
Zn5 Zn 0.8302 0.2533 0.6605
Zn6 Zn 0.8302 0.7467 0.6605
```

=====

This record from Alexandria via LeMat-Bulk describes a geometry-optimized Ac3LaZn structure. The functional is PBE-GGA.

Geometry as CIF:
```
data_Ac3LaZn
_space_group_name_H-M_alt 'P 1'
_space_group_IT_number 1
_cell_length_a 13.1520
_cell_length_b 13.1520
_cell_length_c 7.4951
_cell_angle_alpha 97.65
_cell_angle_beta 97.65
_cell_angle_gamma 17.56
loop_
_space_group_symop_operation_xyz
'x,y,z'
loop_
_atom_site_label
_atom_site_type_symbol
_atom_site_fract_x
_atom_site_fract_y
_atom_site_fract_z
Ac1 Ac 0.0133 0.0133 0.2466
Ac2 Ac 0.1552 0.1552 0.5243
Ac3 Ac 0.3782 0.3782 0.9975
Ac4 Ac 0.6218 0.6218 0.0025
Ac5 Ac 0.8448 0.8448 0.4757
Ac6 Ac 0.9867 0.9867 0.7534
La1 La 0.2450 0.2450 0.1855
La2 La 0.7550 0.7550 0.8145
Zn1 Zn 0.4387 0.4387 0.4374
Zn2 Zn 0.5613 0.5613 0.5626
```

=====

This record from Alexandria via LeMat-Bulk describes a geometry-optimized AcLa2Zn2 structure. The functional is PBE-GGA.

Geometry as CIF:
```
data_AcLa2Zn2
_space_group_name_H-M_alt 'P 1'
_space_group_IT_number 1
_cell_length_a 4.8234
_cell_length_b 4.6115
_cell_length_c 13.9038
_cell_angle_alpha 90.00
_cell_angle_beta 99.85
_cell_angle_gamma 90.00
loop_
_space_group_symop_operation_xyz
'x,y,z'
loop_
_atom_site_label
_atom_site_type_symbol
_atom_site_fract_x
_atom_site_fract_y
_atom_site_fract_z
Ac1 Ac 0.1327 0.2500 0.2687
Ac2 Ac 0.8673 0.7500 0.7313
La1 La 0.2377 0.7500 0.4737
La2 La 0.4478 0.2500 0.8924
La3 La 0.5522 0.7500 0.1076
La4 La 0.7623 0.2500 0.5263
Zn1 Zn 0.0215 0.2500 0.0411
Zn2 Zn 0.3302 0.2500 0.6613
Zn3 Zn 0.6698 0.7500 0.3387
Zn4 Zn 0.9785 0.7500 0.9589
```

Properties
Energy above the most stable polymorph in this dataset ... 0.0 kJ/mol of atoms

=====

This record from Alexandria via LeMat-Bulk describes a geometry-optimized AcLa2Zn structure. The functional is PBE-GGA.

Geometry as CIF:
```
data_AcLa2Zn
_space_group_name_H-M_alt 'P 1'
_space_group_IT_number 1
_cell_length_a 5.7282
_cell_length_b 5.7282
_cell_length_c 5.7282
_cell_angle_alpha 60.00
_cell_angle_beta 60.00
_cell_angle_gamma 60.00
loop_
_space_group_symop_operation_xyz
'x,y,z'
loop_
_atom_site_label
_atom_site_type_symbol
_atom_site_fract_x
_atom_site_fract_y
_atom_site_fract_z
Ac1 Ac 0.0000 0.0000 0.0000
La1 La 0.2500 0.2500 0.2500
La2 La 0.7500 0.7500 0.7500
Zn1 Zn 0.5000 0.5000 0.5000
```

Properties
Energy above the most stable polymorph in this dataset ... 23.7 kJ/mol of atoms

=====

Values of ΔH_f (0 K), in order: -0.290 -0.166 -0.299 0.000 -0.179 0.096, all in eV/atom.
Values of calculated total energy, in order: -0.177 -0.259 -0.245 -0.272 -0.256 -0.273, all in Ry per atom.